Compound: NpFe2B4
Source: the Alexandria database
Functional: GGA-PBE
Structure: relaxed

Geometry as POSCAR:
```
NpFe2B4
1.0
-1.4932 1.5434 7.3373
1.4932 -1.5434 7.3373
1.4932 1.5434 -7.3373
Np Fe B
1 2 4
Direct
0.0000 0.0000 0.0000
0.1962 0.6962 0.5000
0.8038 0.3038 0.5000
0.3430 0.8430 0.5000
0.3984 0.3984 0.0000
0.6016 0.6016 0.0000
0.6570 0.1570 0.5000
```

Output
D(E_F) = 0.814 states/eV per atom
Total energy = -58.5 eV per cell
SG = No. 71
Magnetic moment = 5.89 μB/cell
E_form = -0.28 eV/atom